Below is an optimized crystal structure of AcPr2ZrO6, with properties calculated at the PBE level.

abc: 5.6290 5.6290 5.7246
angles: 90.00 90.00 90.00
With the nearest neighbours (Å) after each atom.
Positions (direct):
Ac: 0.0000 0.0000 0.0000  5 O 2.35-2.46
Pr: 0.0000 0.5000 0.4532  4 O 2.39
Pr: 0.5000 0.0000 0.4532  4 O 2.39
Zr: 0.5000 0.5000 0.0597  5 O 2.00-2.09
O: 0.0000 0.0000 0.5901  1 Ac 2.35
O: 0.2642 0.2642 0.2215  1 Zr 2.09
O: 0.2642 0.7358 0.2215  1 Zr 2.09
O: 0.5000 0.5000 0.7105  1 Zr 2.00
O: 0.7358 0.2642 0.2215  1 Zr 2.09
O: 0.7358 0.7358 0.2215  1 Zr 2.09

Summary:
V, Å³ per atom: 18.139
SG: No. 99
Formation energy without anion corrections, eV/atom: -3.034
Final energy, eV/cell: -82.31
Total magnetic moment, μB/f.u.: 0.8
Fermi-level density of states, states/eV/atom: 0.396


Below is an optimized crystal structure of Ac2PtO, with properties calculated at the PBE level.

abc: 6.2550 6.2884 12.5398
angles: 90.00 117.07 90.00
With the nearest neighbours (Å) after each atom.
Positions (direct):
Ac: 0.1000 0.2358 0.1076  2 O 2.46-2.67
Ac: 0.1000 0.7642 0.6076  2 O 2.46-2.67
Ac: 0.3289 0.2214 0.8583  2 O 2.47-2.70
Ac: 0.3289 0.7786 0.3583  2 O 2.47-2.70
Ac: 0.6711 0.2214 0.6417  2 O 2.47-2.70
Ac: 0.6711 0.7786 0.1417  2 O 2.47-2.70
Ac: 0.9000 0.2358 0.3924  2 O 2.46-2.67
Ac: 0.9000 0.7642 0.8924  2 O 2.46-2.67
Pt: 0.3842 0.2783 0.3757  6 Ac 3.00-3.16
Pt: 0.3842 0.7217 0.8757  6 Ac 3.00-3.16
Pt: 0.6158 0.2783 0.1243  6 Ac 3.00-3.16
Pt: 0.6158 0.7217 0.6243  6 Ac 3.00-3.16
O: 0.0406 0.1483 0.6232  4 Ac 2.46-2.70
O: 0.0406 0.8517 0.1232  4 Ac 2.46-2.70
O: 0.9594 0.1483 0.8768  4 Ac 2.46-2.70
O: 0.9594 0.8517 0.3768  4 Ac 2.46-2.70

Summary:
V, Å³ per atom: 27.450
SG: No. 13
Energy above the most stable polymorph in this dataset, meV/atom: 0
Formation energy without anion corrections, eV/atom: -1.826
Final energy, eV/cell: -106.07
Total magnetic moment, μB/f.u.: 0.0
Fermi-level density of states, states/eV/atom: 0.644


Below is an optimized crystal structure of Ac2PtO4, with properties calculated at the PBE level.

abc: 7.4935 7.4935 5.8507
angles: 90.00 90.00 45.97
With the nearest neighbours (Å) after each atom.
Positions (direct):
Ac: 0.1533 0.1533 0.0000  6 O 2.44-2.67
Ac: 0.3467 0.3467 0.5000  6 O 2.44-2.67
Ac: 0.6533 0.6533 0.5000  6 O 2.44-2.67
Ac: 0.8467 0.8467 0.0000  6 O 2.44-2.67
Pt: 0.0000 0.0000 0.5000  4 O 2.11
Pt: 0.5000 0.5000 0.0000  4 O 2.11
O: 0.0050 0.4950 0.7500  4 Ac 2.44-2.48
O: 0.1972 0.8028 0.8028  2 Pt 2.11
O: 0.3028 0.6972 0.3028  2 Pt 2.11
O: 0.4950 0.0050 0.2500  4 Ac 2.44-2.48
O: 0.5050 0.9950 0.7500  4 Ac 2.44-2.48
O: 0.6972 0.3028 0.6972  2 Pt 2.11
O: 0.8028 0.1972 0.1972  2 Pt 2.11
O: 0.9950 0.5050 0.2500  4 Ac 2.44-2.48

Summary:
V, Å³ per atom: 16.871
SG: No. 64
Formation energy without anion corrections, eV/atom: -2.502
Final energy, eV/cell: -103.21
Total magnetic moment, μB/f.u.: 0.0
Fermi-level density of states, states/eV/atom: 0.013


Below is an optimized crystal structure of Ac4PtO7, with properties calculated at the PBE level.

abc: 7.2734 7.2734 9.7307
angles: 130.38 130.38 33.35
With the nearest neighbours (Å) after each atom.
Positions (direct):
Ac: 0.0839 0.0839 0.3846  5 O 2.48-2.60
Ac: 0.2487 0.2487 0.1592  5 O 2.39-2.67
Ac: 0.7513 0.7513 0.8408  5 O 2.39-2.67
Ac: 0.9161 0.9161 0.6154  5 O 2.48-2.60
Pt: 0.5000 0.5000 0.0000  4 O 2.08-2.09
O: 0.0000 0.0000 0.0000  2 Pt 2.09
O: 0.1299 0.1299 0.6920  4 Ac 2.45-2.60
O: 0.2967 0.2967 0.4460  4 Ac 2.39-2.60
O: 0.4113 0.4113 0.1057  1 Pt 2.08
O: 0.5887 0.5887 0.8943  1 Pt 2.08
O: 0.7033 0.7033 0.5540  4 Ac 2.39-2.60
O: 0.8701 0.8701 0.3080  4 Ac 2.45-2.60

Summary:
V, Å³ per atom: 17.374
SG: No. 12
Formation energy without anion corrections, eV/atom: -2.861
Final energy, eV/cell: -91.52
Total magnetic moment, μB/f.u.: 0.0
Fermi-level density of states, states/eV/atom: 0.194


Below is an optimized crystal structure of Ac6Pt3O, with properties calculated at the PBE level.

abc: 9.6670 9.6670 7.2263
angles: 90.00 90.00 102.86
With the nearest neighbours (Å) after each atom.
Positions (direct):
Ac: 0.0477 0.9523 0.5000  1 O 2.49
Ac: 0.1142 0.5645 0.4467  1 O 2.48
Ac: 0.2191 0.7809 0.9543  1 O 2.55
Ac: 0.2998 0.3651 0.9462  4 Pt 3.02-3.29
Ac: 0.3651 0.2998 0.4462  4 Pt 3.02-3.29
Ac: 0.4355 0.8858 0.4467  1 O 2.48
Ac: 0.5645 0.1142 0.9467  1 O 2.48
Ac: 0.6349 0.7002 0.9462  4 Pt 3.02-3.29
Ac: 0.7002 0.6349 0.4462  4 Pt 3.02-3.29
Ac: 0.7809 0.2191 0.4543  1 O 2.55
Ac: 0.8858 0.4355 0.9467  1 O 2.48
Ac: 0.9523 0.0477 0.0000  1 O 2.49
Pt: 0.0666 0.2755 0.6647  7 Ac 3.02-3.31
Pt: 0.2755 0.0666 0.1647  7 Ac 3.02-3.31
Pt: 0.3947 0.6053 0.2324  7 Ac 3.07-3.33
Pt: 0.6053 0.3947 0.7324  7 Ac 3.07-3.33
Pt: 0.7245 0.9334 0.6647  7 Ac 3.02-3.31
Pt: 0.9334 0.7245 0.1647  7 Ac 3.02-3.31
O: 0.2051 0.7949 0.6031  4 Ac 2.48-2.55
O: 0.7949 0.2051 0.1031  4 Ac 2.48-2.55

Summary:
V, Å³ per atom: 32.918
SG: No. 36
Formation energy without anion corrections, eV/atom: -1.254
Final energy, eV/cell: -120.54
Total magnetic moment, μB/f.u.: 0.0
Fermi-level density of states, states/eV/atom: 0.622


Below is an optimized crystal structure of AcPtO, with properties calculated at the PBE level.

abc: 6.2735 6.2735 6.2735
angles: 49.86 49.86 49.86
With the nearest neighbours (Å) after each atom.
Positions (direct):
Ac: 0.2451 0.2451 0.2451  1 O 2.17
Ac: 0.7549 0.7549 0.7549  1 O 2.17
Pt: 0.4205 0.4205 0.4205  1 Pt 2.62, 1 Ac 2.88
Pt: 0.5795 0.5795 0.5795  1 Pt 2.62, 1 Ac 2.88
O: 0.1128 0.1128 0.1128  1 Ac 2.17
O: 0.8872 0.8872 0.8872  1 Ac 2.17

Summary:
V, Å³ per atom: 22.123
SG: No. 166
Formation energy without anion corrections, eV/atom: -1.287
Final energy, eV/cell: -37.94
Total magnetic moment, μB/f.u.: 0.0


Below is an optimized crystal structure of AcPt3O6, with properties calculated at the PBE level.

abc: 6.3541 6.3541 3.6235
angles: 90.00 90.00 109.50
With the nearest neighbours (Å) after each atom.
Positions (direct):
Ac: 0.0000 0.0000 0.0000  8 O 2.49-2.62
Pt: 0.0000 0.5000 0.5000  6 O 2.04-2.20
Pt: 0.5000 0.0000 0.5000  6 O 2.04-2.20
Pt: 0.5000 0.5000 0.0000  4 O 2.02
O: 0.1645 0.8355 0.5000  2 Pt 2.04
O: 0.1667 0.4371 0.0000  3 Pt 2.02-2.20
O: 0.4371 0.1667 0.0000  3 Pt 2.02-2.20
O: 0.5629 0.8333 0.0000  3 Pt 2.02-2.20
O: 0.8333 0.5629 0.0000  3 Pt 2.02-2.20
O: 0.8355 0.1645 0.5000  2 Pt 2.04

Summary:
V, Å³ per atom: 13.791
SG: No. 65
Formation energy without anion corrections, eV/atom: -1.131
Final energy, eV/cell: -63.29
Total magnetic moment, μB/f.u.: 0.0
Fermi-level density of states, states/eV/atom: 0.388


Below is an optimized crystal structure of Ac5Pt4O, with properties calculated at the PBE level.

abc: 7.4816 7.4816 7.4816
angles: 99.88 99.88 131.06
With the nearest neighbours (Å) after each atom.
Positions (direct):
Ac: 0.0000 0.0000 0.0000  1 O 2.39
Ac: 0.2589 0.6443 0.8073  1 O 2.96, 5 Pt 3.06-3.13
Ac: 0.4515 0.2589 0.6146  1 O 2.96, 5 Pt 3.06-3.13
Ac: 0.6443 0.8370 0.3854  1 O 2.96, 5 Pt 3.06-3.13
Ac: 0.8370 0.4515 0.1927  1 O 2.96, 5 Pt 3.06-3.13
Pt: 0.1455 0.3482 0.3972  6 Ac 3.05-3.13
Pt: 0.3482 0.9510 0.2027  6 Ac 3.05-3.13
Pt: 0.7483 0.1455 0.7973  6 Ac 3.05-3.13
Pt: 0.9510 0.7483 0.6028  6 Ac 3.05-3.13
O: 0.6142 0.6142 0.0000  1 Ac 2.39

Summary:
V, Å³ per atom: 28.741
SG: No. 79
Formation energy without anion corrections, eV/atom: -1.423
Final energy, eV/cell: -63.89
Total magnetic moment, μB/f.u.: 0.0
Fermi-level density of states, states/eV/atom: 0.484


> The highest V belongs to which entry?

Ac6Pt3O


> Which of these has the highest formation energy without anion corrections?

AcPt3O6